Record 1
Entry from Alexandria via LeMat-Bulk: NiAgIr2 after structural relaxation (GGA-PBE).

## Properties
Volume = 14.6 A^3/atom
Space-group type = Cm

The structure in extended XYZ format:
```
8
Lattice="8.9765 0.0000 0.0000 0.0000 2.7496 0.0000 -0.8615 0.0000 4.7277" Properties=species:S:1:pos:R:3 pbc="T T T"
Ni 0.0000 0.0000 0.0000
Ni 4.4883 1.3748 0.0000
Ag 2.0863 1.3748 1.0558
Ag 6.5745 0.0000 1.0558
Ir -0.3286 1.3748 2.5623
Ir 1.7153 0.0000 3.4333
Ir 4.1597 0.0000 2.5623
Ir 6.2036 1.3748 3.4333
```


Record 2
Entry from Alexandria via LeMat-Bulk: NiAgIr2 after structural relaxation (GGA-PBE).

## Properties
Volume = 14.7 A^3/atom
Space-group type = Pmmm

The structure in extended XYZ format:
```
4
Lattice="2.7318 0.0000 0.0000 0.0000 4.6222 0.0000 0.0000 0.0000 4.6704" Properties=species:S:1:pos:R:3 pbc="T T T"
Ni 0.0000 0.0000 0.0000
Ag 1.3659 2.3111 0.0000
Ir 0.0000 2.3111 2.3352
Ir 1.3659 0.0000 2.3352
```


Summary of DOS at the Fermi energy in states/eV per atom
1.274; 1.591
(order as listed above)
Summary of theoretical density in g/cm3
15.68; 15.51
(order as listed above)
Summary of distance to the lowest polymorph of the same formula in meV per atom
113.8; 237.6
(order as listed above)